1.
LaTa2Br | PBE | relaxed

Results
E above lowest polymorph in meV per atom: 619
E_form (uncorrected) in meV per atom: 546

Unit cell a=6.010 b=6.010 c=6.010 alpha=147.12 beta=122.82 gamma=67.55
Last column: magnetic moment on the atom in μB.
Fractional coordinates of all 4 atoms:
La (0.252, 0.752, 0.500)  0.08
Br (0.535, 0.535, 0.000)  0.01
Ta (0.958, 0.958, 0.000)  0.34
Ta (0.755, 0.255, 0.500)  -0.03

2.
DyPu2Cd6 | PBE | relaxed

Results
Formation energy from the elements in eV per atom: -0.1575

Unit cell a=6.040 b=6.040 c=6.040 alpha=93.92 beta=93.93 gamma=93.93
Last column: magnetic moment on the atom in μB.
Fractional coordinates of all 9 atoms:
Dy (0.000, 0.000, 0.000)  0.21
Pu (0.658, 0.658, 0.658)  5.55
Pu (0.342, 0.342, 0.342)  5.55
Cd (0.164, 0.500, 0.835)  -0.01
Cd (0.836, 0.165, 0.500)  -0.01
Cd (0.836, 0.500, 0.165)  -0.01
Cd (0.500, 0.165, 0.835)  -0.01
Cd (0.164, 0.835, 0.500)  -0.01
Cd (0.500, 0.835, 0.165)  -0.01

3.
LaCeRh | PBE | relaxed

Results
E above lowest polymorph in meV per atom: 143
Formation energy from the elements in eV per atom: -0.3808

Unit cell a=4.931 b=4.931 c=4.931 alpha=60.00 beta=60.00 gamma=60.00
Last column: magnetic moment on the atom in μB.
Fractional coordinates of all 3 atoms:
Rh (0.250, 0.250, 0.250)  -0.06
Ce (0.500, 0.500, 0.500)  0.86
La (0.000, 0.000, 0.000)  0.10

4.
La2Fe2Ru | PBE | relaxed

Results
Formation energy from the elements in eV per atom: 0.1821

Unit cell a=6.720 b=6.720 c=4.481 alpha=90.00 beta=90.00 gamma=90.00
Last column: magnetic moment on the atom in μB.
Fractional coordinates of all 10 atoms:
Ru (0.000, 0.000, 0.000)  0.49
Ru (0.500, 0.500, 0.000)  0.50
Fe (0.379, 0.879, 0.000)  2.00
Fe (0.879, 0.621, 0.000)  2.02
Fe (0.621, 0.121, 0.000)  2.00
Fe (0.121, 0.379, 0.000)  2.02
La (0.186, 0.686, 0.500)  -0.18
La (0.686, 0.814, 0.500)  -0.18
La (0.814, 0.314, 0.500)  -0.18
La (0.314, 0.186, 0.500)  -0.18

5.
Ac3CuPt8 | PBE | relaxed

Results
Formation energy from the elements in eV per atom: -0.8574

Unit cell a=5.590 b=5.590 c=9.660 alpha=73.18 beta=73.18 gamma=60.00
Fractional coordinates of all 12 atoms:
Ac (0.621, 0.621, 0.136)
Ac (0.012, 0.012, 0.963)
Ac (0.491, 0.491, 0.528)
Cu (0.144, 0.144, 0.567)
Pt (0.562, 0.058, 0.818)
Pt (0.060, 0.559, 0.321)
Pt (0.562, 0.562, 0.818)
Pt (0.060, 0.060, 0.321)
Pt (0.810, 0.810, 0.571)
Pt (0.311, 0.311, 0.068)
Pt (0.058, 0.562, 0.818)
Pt (0.559, 0.060, 0.321)

6.
P2IrAu | PBE | relaxed

Results
E above lowest polymorph in meV per atom: 479
Formation energy from the elements in eV per atom: 0.2539

Unit cell a=5.892 b=5.892 c=5.892 alpha=152.24 beta=132.65 gamma=55.78
Fractional coordinates of all 4 atoms:
Au (0.750, 0.250, 0.500)
Ir (0.250, 0.750, 0.500)
P (0.062, 0.062, 0.000)
P (0.438, 0.438, 0.000)